Entry 1:
Below is crystalline Ba2Mn2Se2OF2 at its relaxed geometry, with properties calculated at the GGA-PBEsol level.

Geometry as extended XYZ:
```
9
Lattice="-2.116 2.116 9.727 2.116 -2.116 9.727 2.116 2.116 -9.727" Properties=species:S:1:pos:R:3 pbc="T T T"
Ba 0.000 0.000 3.311
Ba 0.000 0.000 16.144
Mn 2.116 0.000 0.000
Mn 0.000 2.116 0.000
Se 0.000 0.000 7.946
Se 0.000 0.000 11.509
O 0.000 0.000 0.000
F 2.116 0.000 4.864
F 0.000 2.116 4.864
```

Values from the calculation:
* formation energy from raw total energies: -1795 kJ/mol of formula units
* density of states at the Fermi level: 1.956 states/eV/cell

***

Entry 2:
Below is crystalline MoIr2Ru at its relaxed geometry, with properties calculated at the GGA-PBEsol level.

Geometry as extended XYZ:
```
8
Lattice="5.400 0.000 0.000 0.000 7.704 0.000 0.000 0.000 2.709" Properties=species:S:1:pos:R:3 pbc="T T T"
Mo 0.000 0.000 0.000
Mo 2.700 3.852 0.000
Ir 1.350 1.926 1.354
Ir 1.350 5.778 1.354
Ir 4.050 1.926 1.354
Ir 4.050 5.778 1.354
Ru 0.000 3.852 0.000
Ru 2.700 0.000 0.000
```

Values from the calculation:
* density of states at the Fermi level: 8.029 states/eV/cell
* ΔE to the lowest computed polymorph: 0.095 eV per atom
* DFT formation energy: -0.7 eV per formula unit

***

Entry 3:
Below is crystalline Y2OsCl at its relaxed geometry, with properties calculated at the GGA-PBEsol level.

Geometry as extended XYZ:
```
8
Lattice="4.899 0.000 0.000 0.000 4.552 0.000 -1.759 0.000 7.961" Properties=species:S:1:pos:R:3 pbc="T T T"
Y 0.030 0.000 1.664
Y 0.661 2.276 6.297
Y 2.480 2.276 1.664
Y 3.110 0.000 6.297
Os 0.000 2.276 0.000
Os 2.450 0.000 0.000
Cl -0.879 2.276 3.981
Cl 1.570 0.000 3.981
```

Values from the calculation:
* formation energy from raw total energies: -329 kJ/mol of formula units
* density of states at the Fermi level: 2.489 states/eV/cell
* ΔE to the lowest computed polymorph: 0.048 eV per atom

***

Entry 4:
Below is crystalline AsRh3 at its relaxed geometry, with properties calculated at the GGA-PBEsol level.

Geometry as extended XYZ:
```
4
Lattice="2.805 0.000 0.000 0.000 3.948 0.000 -1.268 0.000 5.058" Properties=species:S:1:pos:R:3 pbc="T T T"
As 0.000 0.000 0.000
Rh -0.634 0.000 2.529
Rh 0.753 1.974 1.213
Rh 0.783 1.974 3.845
```

Values from the calculation:
* density of states at the Fermi level: 6.026 states/eV/cell
* DFT formation energy: -0.3 eV per formula unit